Record 1
First-principles (PBE) data for Hg2SeCl after structural relaxation, as listed in Alexandria.

Structure (extended XYZ):
```
4
Lattice="-1.483 -3.741 5.755 -2.048 -0.540 -5.401 1.557 -3.419 -2.298" Properties=species:S:1:pos:R:3 pbc="T T T"
Se -0.245 -1.979 -3.849
Hg 0.037 -3.580 1.729
Hg 0.000 0.000 0.000
Cl -1.765 -2.140 0.177
```

## Properties
Crystal system   monoclinic
Calculated volume   29.932 Å³ per atom
D(E_F)   0.7 states/eV per cell
ΔE_f (raw)   -0.1430 eV/atom

Record 2
First-principles (PBE) data for HgSe2Cl after structural relaxation, as listed in Alexandria.

Structure (extended XYZ):
```
4
Lattice="-0.396 4.375 9.677 -0.512 1.318 10.533 2.292 2.718 10.015" Properties=species:S:1:pos:R:3 pbc="T T T"
Hg 0.000 0.000 0.000
Se 1.270 7.716 27.729
Cl 0.692 4.206 15.113
Se 0.114 0.695 2.496
```

## Properties
Crystal system   trigonal
Calculated volume   22.868 Å³ per atom
D(E_F)   2.7 states/eV per cell
ΔE_f (raw)   0.3524 eV/atom

Record 3
First-principles (PBE) data for Hg2SeCl after structural relaxation, as listed in Alexandria.

Structure (extended XYZ):
```
4
Lattice="3.277 0.000 0.000 0.000 4.786 0.000 0.000 0.000 6.368" Properties=species:S:1:pos:R:3 pbc="T T T"
Cl 0.000 2.393 3.184
Hg 0.000 0.000 0.000
Hg 1.638 2.393 0.000
Se 1.638 0.000 3.184
```

## Properties
Crystal system   orthorhombic
Calculated volume   24.966 Å³ per atom
D(E_F)   1.6 states/eV per cell
ΔE_f (raw)   0.1921 eV/atom

Record 4
First-principles (PBE) data for HgSeCl6 after structural relaxation, as listed in Alexandria.

Structure (extended XYZ):
```
8
Lattice="-5.023 3.981 -0.877 -5.854 -2.420 -1.304 -4.803 0.294 4.978" Properties=species:S:1:pos:R:3 pbc="T T T"
Cl -7.977 3.107 3.017
Cl -6.333 -0.419 3.216
Cl -5.544 1.938 0.353
Se 0.000 0.000 0.000
Cl -7.703 -1.253 -0.220
Hg -7.840 0.927 1.399
Cl -9.347 2.273 -0.418
Cl -10.136 -0.084 2.445
```

## Properties
Crystal system   trigonal
Calculated volume   26.406 Å³ per atom
D(E_F)   0.0 states/eV per cell
ΔE_f (raw)   -0.3219 eV/atom

Record 5
First-principles (PBE) data for HgSe2Cl after structural relaxation, as listed in Alexandria.

Structure (extended XYZ):
```
4
Lattice="-0.186 1.211 3.884 -5.256 -3.575 0.862 0.107 -4.830 1.511" Properties=species:S:1:pos:R:3 pbc="T T T"
Hg -3.955 -5.698 3.722
Se -4.651 -7.985 2.267
Se -3.073 -4.622 1.294
Cl -1.381 -1.496 2.535
```

## Properties
Crystal system   monoclinic
Calculated volume   27.510 Å³ per atom
D(E_F)   1.4 states/eV per cell
ΔE_f (raw)   -0.1491 eV/atom

Record 6
First-principles (PBE) data for HgSe2Cl after structural relaxation, as listed in Alexandria.

Structure (extended XYZ):
```
4
Lattice="3.901 -10.146 2.137 3.358 -10.515 -0.938 6.072 -9.266 0.040" Properties=species:S:1:pos:R:3 pbc="T T T"
Hg 6.665 -14.963 0.619
Cl 0.000 0.000 0.000
Se 12.335 -27.692 1.146
Se 0.995 -2.234 0.092
```

## Properties
Crystal system   trigonal
Calculated volume   23.390 Å³ per atom
D(E_F)   4.0 states/eV per cell
ΔE_f (raw)   0.3276 eV/atom

Record 7
First-principles (PBE) data for HgSe2Cl after structural relaxation, as listed in Alexandria.

Structure (extended XYZ):
```
4
Lattice="-2.934 1.766 0.388 -2.034 -4.621 5.663 2.304 3.091 3.350" Properties=species:S:1:pos:R:3 pbc="T T T"
Se 1.228 1.648 1.786
Hg -0.756 0.891 5.538
Cl -1.908 -0.654 3.863
Se 2.227 2.988 3.238
```

## Properties
Crystal system   orthorhombic
Calculated volume   33.383 Å³ per atom
D(E_F)   2.9 states/eV per cell
ΔE_f (raw)   0.0926 eV/atom

Record 8
First-principles (PBE) data for HgSe2Cl after structural relaxation, as listed in Alexandria.

Structure (extended XYZ):
```
4
Lattice="7.763 0.085 0.000 -6.049 4.867 0.000 0.000 0.000 2.833" Properties=species:S:1:pos:R:3 pbc="T T T"
Cl 3.882 0.042 1.417
Se 0.857 2.476 0.000
Se 0.000 0.000 0.000
Hg -3.025 2.433 1.417
```

## Properties
Crystal system   orthorhombic
Calculated volume   27.128 Å³ per atom
D(E_F)   2.1 states/eV per cell
ΔE_f (raw)   0.1155 eV/atom

Record 9
First-principles (PBE) data for HgSeCl3 after structural relaxation, as listed in Alexandria.

Structure (extended XYZ):
```
5
Lattice="5.099 0.000 0.000 0.000 5.099 0.000 0.000 0.000 5.099" Properties=species:S:1:pos:R:3 pbc="T T T"
Hg 2.550 2.550 2.550
Cl 0.000 0.000 2.550
Se 0.000 0.000 0.000
Cl 0.000 2.550 0.000
Cl 2.550 0.000 0.000
```

## Properties
Crystal system   cubic
Calculated volume   26.517 Å³ per atom
D(E_F)   1.9 states/eV per cell
ΔE_f (raw)   -0.0897 eV/atom

Record 10
First-principles (PBE) data for HgSe2Cl after structural relaxation, as listed in Alexandria.

Structure (extended XYZ):
```
4
Lattice="5.003 0.000 0.000 2.501 4.332 0.000 2.501 1.444 4.085" Properties=species:S:1:pos:R:3 pbc="T T T"
Cl 5.003 2.888 2.042
Se 0.000 0.000 0.000
Hg 7.504 4.332 3.063
Se 2.501 1.444 1.021
```

## Properties
Crystal system   cubic
Calculated volume   22.132 Å³ per atom
D(E_F)   4.6 states/eV per cell
ΔE_f (raw)   0.3845 eV/atom

Question: Which of these has the highest ΔE_f (raw)?
Answer: number 10

Repeat the ninth record exactly.
First-principles (PBE) data for HgSeCl3 after structural relaxation, as listed in Alexandria.

Structure (extended XYZ):
```
5
Lattice="5.099 0.000 0.000 0.000 5.099 0.000 0.000 0.000 5.099" Properties=species:S:1:pos:R:3 pbc="T T T"
Hg 2.550 2.550 2.550
Cl 0.000 0.000 2.550
Se 0.000 0.000 0.000
Cl 0.000 2.550 0.000
Cl 2.550 0.000 0.000
```

## Properties
Crystal system   cubic
Calculated volume   26.517 Å³ per atom
D(E_F)   1.9 states/eV per cell
ΔE_f (raw)   -0.0897 eV/atom

Question: Which value of calculated volume does entry 10 give?
Answer: 22.132 Å³ per atom

Question: The highest D(E_F) belongs to which entry?
Answer: number 10